[1]
PBE CePr2Th, relaxed; calculated formation energy = 0.10 eV per atom; raw total energy = -5.625 eV per atom; DOS at the Fermi energy = 2.030 states/eV per atom; size of the total moment = 0.110 μB/atom; energy relative to the lowest polymorph listed for this composition = 0 meV/atom; crystal system = trigonal
1.0
3.596 0.000 0.000
1.798 3.114 0.000
1.798 1.038 11.877
Pr Ce Th
2 1 1
direct
0.081 0.081 0.756 Pr
0.252 0.252 0.245 Pr
0.667 0.667 0.999 Ce
0.500 0.500 0.500 Th


[2]
PBE Ce2PrTh, relaxed; calculated formation energy = 0.27 eV per atom; raw total energy = -5.742 eV per atom; DOS at the Fermi energy = 4.231 states/eV per atom; size of the total moment = 0.455 μB/atom; energy relative to the lowest polymorph listed for this composition = 218 meV/atom; crystal system = cubic
1.0
-3.036 3.037 3.628
-5.563 0.450 -0.676
-3.484 -2.566 3.588
Ce Th Pr
2 1 1
direct
0.750 0.750 0.750 Ce
0.250 0.250 0.250 Ce
0.000 0.000 0.000 Th
0.500 0.500 0.500 Pr